[1]
The following is a DFT calculation (PBE-GGA) of CsICl4 after structural relaxation.

Computed properties:
final energy = -29.84 eV for the cell shown
magnetization = 0.000 μB/atom
Fermi-level density of states = 0.00 states/eV per cell
SG = C2/c (15)
uncorrected formation energy = -5.13 eV/f.u.
E above lowest polymorph = 0.022 eV per atom

Lattice parameters (Å, degrees): 8.4687 8.4687 8.5293 109.24 109.24 109.59
Last column: nearest neighbours and their distance in Å.
Atoms (fractional coordinates):
Cs 0.1252 0.8748 0.7500  8 Cl 3.58-3.83
Cs 0.8748 0.1252 0.2500  8 Cl 3.58-3.83
I 0.3747 0.6253 0.2500  4 Cl 2.54
I 0.6253 0.3747 0.7500  4 Cl 2.54
Cl 0.0698 0.5806 0.2666  1 I 2.54
Cl 0.3039 0.3134 0.7335  1 I 2.54
Cl 0.3134 0.3039 0.2335  1 I 2.54
Cl 0.4194 0.9302 0.2334  1 I 2.54
Cl 0.5806 0.0698 0.7666  1 I 2.54
Cl 0.6866 0.6961 0.7665  1 I 2.54
Cl 0.6961 0.6866 0.2665  1 I 2.54
Cl 0.9302 0.4194 0.7334  1 I 2.54

---

[2]
The following is a DFT calculation (PBE-GGA) of Na3Sc2MnS6 after structural relaxation.

Computed properties:
final energy = -67.44 eV for the cell shown
magnetization = 0.333 μB/atom
Fermi-level density of states = 3.87 states/eV per cell
SG = C2/m (12)
uncorrected formation energy = -16.89 eV/f.u.

Lattice parameters (Å, degrees): 6.4642 6.4642 6.9402 98.58 98.58 120.69
Last column: nearest neighbours and their distance in Å.
Atoms (fractional coordinates):
Na 0.0000 0.0000 0.0000  6 S 2.84-2.98
Na 0.3325 0.6675 0.0000  6 S 2.83-2.89
Na 0.6675 0.3325 0.0000  6 S 2.83-2.89
Sc 0.1688 0.8312 0.5000  6 S 2.57-2.62
Sc 0.8312 0.1688 0.5000  6 S 2.57-2.62
Mn 0.5000 0.5000 0.5000  6 S 2.41-2.55
S 0.1001 0.4257 0.2839  1 Mn 2.55, 2 Sc 2.57-2.60, 2 Na 2.83-2.84
S 0.2544 0.2544 0.7045  1 Mn 2.41, 2 Sc 2.62
S 0.4257 0.1001 0.2839  1 Mn 2.55, 2 Sc 2.57-2.60, 2 Na 2.83-2.84
S 0.5743 0.8999 0.7161  1 Mn 2.55, 2 Sc 2.57-2.60, 2 Na 2.83-2.84
S 0.7456 0.7456 0.2955  1 Mn 2.41, 2 Sc 2.62
S 0.8999 0.5743 0.7161  1 Mn 2.55, 2 Sc 2.57-2.60, 2 Na 2.83-2.84